This record from Alexandria via LeMat-Bulk describes a relaxed K2FeNi crystal. The functional is GGA-PBE.

Results
D(E_F) = 22.6 states/eV per cell
Total energy = -3.015 eV per atom

CIF file:
```
data_K2FeNi
_chemical_formula_sum 'K8 Fe4 Ni4'
_cell_length_a 7.3205
_cell_length_b 7.3205
_cell_length_c 7.3205
_cell_angle_alpha 90.00
_cell_angle_beta 90.00
_cell_angle_gamma 90.00
_space_group_name_H-M_alt 'F -4 3 m'
_space_group_IT_number 216
_space_group_name_Hall 'F -4 2 3'
loop_
_atom_site_label
_atom_site_type_symbol
_atom_site_fract_x
_atom_site_fract_y
_atom_site_fract_z
K1 K 0.0000 0.0000 0.0000
K2 K 0.2500 0.2500 0.2500
Fe1 Fe 0.0000 0.0000 0.5000
Ni1 Ni 0.2500 0.2500 0.7500
```



This record from Alexandria via LeMat-Bulk describes a relaxed BaNi2Au crystal. The functional is GGA-PBE.

Results
D(E_F) = 9.4 states/eV per cell
Total energy = -3.858 eV per atom

CIF file:
```
data_BaNi2Au
_chemical_formula_sum 'Ba2 Ni4 Au2'
_cell_length_a 6.3646
_cell_length_b 6.3739
_cell_length_c 3.8171
_cell_angle_alpha 90.00
_cell_angle_beta 90.00
_cell_angle_gamma 90.00
_space_group_name_H-M_alt 'C m m m'
_space_group_IT_number 65
_space_group_name_Hall '-C 2 2'
loop_
_atom_site_label
_atom_site_type_symbol
_atom_site_fract_x
_atom_site_fract_y
_atom_site_fract_z
Ba1 Ba 0.0000 0.0000 0.0000
Ni1 Ni 0.2500 0.2500 0.5000
Au1 Au 0.0000 0.5000 0.0000
```



This record from Alexandria via LeMat-Bulk describes a relaxed TbPr12Tm6 crystal. The functional is GGA-PBE.

Results
D(E_F) = 96.6 states/eV per cell
Total energy = -4.548 eV per atom

CIF file:
```
data_TbPr12Tm6
_chemical_formula_sum 'Tb3 Pr36 Tm18'
_cell_length_a 12.1883
_cell_length_b 12.1883
_cell_length_c 15.3834
_cell_angle_alpha 90.00
_cell_angle_beta 90.00
_cell_angle_gamma 120.00
_space_group_name_H-M_alt 'R -3'
_space_group_IT_number 148
_space_group_name_Hall '-R 3'
loop_
_atom_site_label
_atom_site_type_symbol
_atom_site_fract_x
_atom_site_fract_y
_atom_site_fract_z
Tb1 Tb 0.0000 0.0000 0.0000
Pr1 Pr 0.9997 0.1729 0.1920
Pr2 Pr 0.0488 0.1996 0.4159
Tm1 Tm 0.0183 0.5877 0.6886
```



Number 1: ΔH_f (0 K) 1095 meV per atom. Number 2: ΔH_f (0 K) 333 meV per atom. Number 3: ΔH_f (0 K) 127 meV per atom.